DFT (PBE-GGA) results for ZrScS3 after structural relaxation.

```
data_ZrScS3
_cell_length_a 6.5146
_cell_length_b 3.6594
_cell_length_c 9.2882
_cell_angle_alpha 90.00
_cell_angle_beta 103.03
_cell_angle_gamma 90.00
_symmetry_space_group_name_H-M 'P 1 21/m 1'
_symmetry_Int_Tables_number 11
loop_
_symmetry_equiv_pos_as_xyz
'x,y,z'
'-x,-y,-z'
'-x,y+1/2,-z'
'x,-y+1/2,z'
loop_
_atom_site_label
_atom_site_type_symbol
_atom_site_fract_x
_atom_site_fract_y
_atom_site_fract_z
_atom_site_occupancy
Zr1 Zr 0.1309 0.2500 0.1499 1
Sc1 Sc 0.2700 0.2500 0.5185 1
S1 S 0.0433 0.7500 0.3426 1
S2 S 0.2485 0.7500 0.9959 1
S3 S 0.4886 0.7500 0.6679 1
```

Computed properties:
formation energy from raw total energies	-1.7008	eV/atom
E_tot	-7.153	eV per atom